Compound: LaBiBr2
Source: Alexandria
Functional: PBEsol
Structure: relaxed

Properties
Raw formation energy in eV per atom: -0.872

Cell: 5.3513 5.3513 5.3513 Å, 60.00 60.00 60.00°
Atoms (fractional coordinates):
Bi (0.5000, 0.5000, 0.5000)
La (0.0000, 0.0000, 0.0000)
Br (0.7500, 0.7500, 0.7500)
Br (0.2500, 0.2500, 0.2500)